Entry 1:
VASP calculation (GGA-PBE) on an optimized crystal structure of Zn2TePt2.

The structure in CIF format:
```
data_Zn2TePt2
_chemical_formula_sum 'Zn4 Te2 Pt4'
_cell_length_a 3.676
_cell_length_b 3.676
_cell_length_c 13.116
_cell_angle_alpha 90.00
_cell_angle_beta 90.00
_cell_angle_gamma 90.00
_space_group_name_H-M_alt 'I 4/m m m'
_space_group_IT_number 139
_space_group_name_Hall '-I 4 2'
loop_
_atom_site_label
_atom_site_type_symbol
_atom_site_fract_x
_atom_site_fract_y
_atom_site_fract_z
_atom_site_occupancy
Zn1 Zn 0.000 0.500 0.250 1
Te1 Te 0.000 0.000 0.000 1
Pt1 Pt 0.000 0.000 0.394 1
```

Values from the calculation:
Energy above the lowest structure with this stoichiometry (meV/atom): 87
Raw formation energy (kcal/mol of atoms): -5.709
N(E_F) (states/eV per cell): 4.50
Size of the total moment (μB per atom): 0.0000

***

Entry 2:
VASP calculation (GGA-PBE) on an optimized crystal structure of Ta4FeMo.

The structure in CIF format:
```
data_Ta4FeMo
_chemical_formula_sum 'Ta4 Fe1 Mo1'
_cell_length_a 4.292
_cell_length_b 4.292
_cell_length_c 6.185
_cell_angle_alpha 90.00
_cell_angle_beta 90.00
_cell_angle_gamma 90.00
_space_group_name_H-M_alt 'P 4/m m m'
_space_group_IT_number 123
_space_group_name_Hall '-P 4 2'
loop_
_atom_site_label
_atom_site_type_symbol
_atom_site_fract_x
_atom_site_fract_y
_atom_site_fract_z
_atom_site_occupancy
Ta1 Ta 0.000 0.500 0.239 1
Fe1 Fe 0.000 0.000 0.000 1
Mo1 Mo 0.500 0.500 0.500 1
```

Values from the calculation:
ΔE_f (eV/atom): 0.440
Energy above the lowest structure with this stoichiometry (meV/atom): 575
N(E_F) (states/eV per cell): 5.07
Size of the total moment (μB per atom): 0.0000

***

Q: Which of these has the lowest energy above the lowest structure with this stoichiometry?
A: Zn2TePt2